! BaLi2Pb2 (GGA-PBE, optimized geometry); values from VASP
&SYSTEM
  ibrav = 0, nat = 10, ntyp = 3
/
ATOMIC_SPECIES
Ba 137.33 Ba.upf
Li 6.94 Li.upf
Pb 207.20 Pb.upf
ATOMIC_POSITIONS angstrom
Ba 0.0000 0.0000 0.0000
Ba 4.5315 4.5315 0.0000
Li 1.3861 3.1454 1.8154
Li 3.1454 7.6768 1.8154
Li 5.9176 1.3861 1.8154
Li 7.6768 5.9176 1.8154
Pb 1.1458 5.6773 0.0000
Pb 3.3856 1.1458 0.0000
Pb 5.6773 7.9171 0.0000
Pb 7.9171 3.3856 0.0000
CELL_PARAMETERS angstrom
9.0629 0.0000 0.0000
0.0000 9.0629 0.0000
0.0000 0.0000 3.6309
! Total energy   -2.854 eV/atom
! Spin magnetization   0.049 μB/atom
! Symmetry   P4/mbm
! Energy of formation from the pure elements   -221.0 meV/atom